[1]
Here is crystalline HfNb2Ge at its relaxed geometry from OQMD. Energies are from PBE-GGA.

Output
raw total energy	-35.4	eV/cell

Cell: 4.6758 4.6758 4.6758 Å, 60.00 60.00 60.00°
With the nearest neighbours (Å) after each atom.
Positions (direct):
Nb1 0.7500 0.7500 0.7500  4 Ge 2.86, 4 Nb 2.86
Nb2 0.0000 0.0000 0.0000  4 Hf 2.86, 4 Nb 2.86
Ge1 0.5000 0.5000 0.5000  4 Nb 2.86, 4 Hf 2.86
Hf1 0.2500 0.2500 0.2500  4 Nb 2.86, 4 Ge 2.86

---

[2]
Here is crystalline HfNb2Ge2 at its relaxed geometry from OQMD. Energies are from PBE-GGA.

Output
energy relative to the lowest polymorph listed for this composition	59.5	kJ per mole of atoms

Cell: 5.3708 5.3708 5.3708 Å, 126.88 126.88 78.44°
With the nearest neighbours (Å) after each atom.
Positions (direct):
Nb1 0.3463 0.3463 0.0000  4 Ge 2.53, 1 Nb 2.56
Nb2 0.6537 0.6537 0.0000  4 Ge 2.53, 1 Nb 2.56
Hf1 0.0000 0.0000 0.0000  2 Nb 2.88, 8 Ge 3.18
Ge1 0.2500 0.7500 0.5000  4 Nb 2.53
Ge2 0.7500 0.2500 0.5000  4 Nb 2.53

---

[3]
Here is crystalline Hf4NbGe4 at its relaxed geometry from OQMD. Energies are from PBE-GGA.

Output
raw total energy	-299.1	eV/cell

Cell: 6.9482 13.4693 7.0592 Å, 90.00 90.00 90.00°
With the nearest neighbours (Å) after each atom.
Positions (direct):
Ge1 0.4528 0.7500 0.1088  1 Ge 2.61, 6 Hf 2.68-2.91, 2 Nb 2.69-2.88
Ge2 0.1842 0.7500 0.8508  1 Ge 2.61, 2 Nb 2.68-2.72, 4 Hf 2.79-2.82
Ge3 0.6914 0.4596 0.5321  6 Hf 2.63-2.92, 1 Nb 2.83, 1 Ge 2.91
Ge4 0.6842 0.7500 0.6492  1 Ge 2.61, 2 Nb 2.68-2.72, 4 Hf 2.79-2.82
Ge5 0.6914 0.0404 0.5321  6 Hf 2.63-2.92, 1 Nb 2.83, 1 Ge 2.91
Ge6 0.8086 0.5404 0.0321  6 Hf 2.63-2.92, 1 Nb 2.83, 1 Ge 2.91
Ge7 0.5472 0.2500 0.8912  1 Ge 2.61, 6 Hf 2.68-2.91, 2 Nb 2.69-2.88
Ge8 0.3086 0.9596 0.4679  6 Hf 2.63-2.92, 1 Nb 2.83, 1 Ge 2.91
Ge9 0.1914 0.0404 0.9679  6 Hf 2.63-2.92, 1 Nb 2.83, 1 Ge 2.91
Ge10 0.3158 0.2500 0.3508  1 Ge 2.61, 2 Nb 2.68-2.72, 4 Hf 2.79-2.82
Ge11 0.8086 0.9596 0.0321  6 Hf 2.63-2.92, 1 Nb 2.83, 1 Ge 2.91
Ge12 0.9528 0.7500 0.3912  1 Ge 2.61, 6 Hf 2.68-2.91, 2 Nb 2.69-2.88
Ge13 0.1914 0.4596 0.9679  6 Hf 2.63-2.92, 1 Nb 2.83, 1 Ge 2.91
Ge14 0.8158 0.2500 0.1492  1 Ge 2.61, 2 Nb 2.68-2.72, 4 Hf 2.79-2.82
Ge15 0.0472 0.2500 0.6088  1 Ge 2.61, 6 Hf 2.68-2.91, 2 Nb 2.69-2.88
Ge16 0.3086 0.5404 0.4679  6 Hf 2.63-2.92, 1 Nb 2.83, 1 Ge 2.91
Hf1 0.1510 0.8754 0.1692  6 Ge 2.63-2.82
Hf2 0.4856 0.5951 0.8234  7 Ge 2.78-3.10
Hf3 0.9856 0.9049 0.6766  7 Ge 2.78-3.10
Hf4 0.5144 0.0951 0.1766  7 Ge 2.78-3.10
Hf5 0.0144 0.4049 0.3234  7 Ge 2.78-3.10
Hf6 0.3490 0.3754 0.6692  6 Ge 2.63-2.82
Hf7 0.8490 0.1246 0.8308  6 Ge 2.63-2.82
Hf8 0.8490 0.3754 0.8308  6 Ge 2.63-2.82
Hf9 0.3490 0.1246 0.6692  6 Ge 2.63-2.82
Hf10 0.6510 0.8754 0.3308  6 Ge 2.63-2.82
Hf11 0.5144 0.4049 0.1766  7 Ge 2.78-3.10
Hf12 0.0144 0.0951 0.3234  7 Ge 2.78-3.10
Hf13 0.9856 0.5951 0.6766  7 Ge 2.78-3.10
Hf14 0.6510 0.6246 0.3308  6 Ge 2.63-2.82
Hf15 0.4856 0.9049 0.8234  7 Ge 2.78-3.10
Hf16 0.1510 0.6246 0.1692  6 Ge 2.63-2.82
Nb1 0.1757 0.2500 0.9971  6 Ge 2.68-2.88
Nb2 0.6757 0.2500 0.5029  6 Ge 2.68-2.88
Nb3 0.8243 0.7500 0.0029  6 Ge 2.68-2.88
Nb4 0.3243 0.7500 0.4971  6 Ge 2.68-2.88

---

[4]
Here is crystalline HfNbGe2 at its relaxed geometry from OQMD. Energies are from PBE-GGA.

Output
raw total energy	-28.5	eV/cell

Cell: 4.6987 4.6987 4.6987 Å, 60.00 60.00 60.00°
With the nearest neighbours (Å) after each atom.
Positions (direct):
Nb1 0.7500 0.7500 0.7500  4 Hf 2.88, 4 Ge 2.88
Ge1 0.0000 0.0000 0.0000  4 Nb 2.88, 4 Ge 2.88
Ge2 0.2500 0.2500 0.2500  4 Hf 2.88, 4 Ge 2.88
Hf1 0.5000 0.5000 0.5000  4 Ge 2.88, 4 Nb 2.88

---

[5]
Here is crystalline Hf2NbGe2 at its relaxed geometry from OQMD. Energies are from PBE-GGA.

Output
energy relative to the lowest polymorph listed for this composition	78.0	kJ per mole of atoms

Cell: 7.5296 7.5296 7.5296 Å, 151.51 151.51 40.73°
With the nearest neighbours (Å) after each atom.
Positions (direct):
Ge1 0.2500 0.7500 0.5000  4 Ge 2.62, 4 Hf 2.80
Ge2 0.7500 0.2500 0.5000  4 Ge 2.62, 4 Hf 2.80
Nb1 0.0000 0.0000 0.0000  8 Hf 2.99
Hf1 0.3985 0.3985 0.0000  4 Ge 2.80, 1 Hf 2.87, 4 Nb 2.99
Hf2 0.6015 0.6015 0.0000  4 Ge 2.80, 1 Hf 2.87, 4 Nb 2.99

---

[6]
Here is crystalline Hf2NbGe2 at its relaxed geometry from OQMD. Energies are from PBE-GGA.

Output
energy relative to the lowest polymorph listed for this composition	62.4	kJ per mole of atoms

Cell: 6.6254 6.6254 6.6254 Å, 144.73 144.73 50.74°
With the nearest neighbours (Å) after each atom.
Positions (direct):
Nb1 0.0000 0.0000 0.0000  8 Ge 3.07
Hf1 0.2500 0.7500 0.5000  4 Ge 2.71, 4 Hf 2.84
Hf2 0.7500 0.2500 0.5000  4 Ge 2.71, 4 Hf 2.84
Ge1 0.5977 0.5977 0.0000  1 Ge 2.34
Ge2 0.4023 0.4023 0.0000  1 Ge 2.34